# Pr4NiBr2N (PBE-GGA, relaxed)
data_Pr4NiBr2N
_chemical_formula_sum 'Pr4 Ni1 Br2 N1'
_space_group_name_H-M_alt 'P 1'
_space_group_IT_number 1
_space_group_name_Hall 'P 1'
_cell_length_a 7.0001
_cell_length_b 3.8243
_cell_length_c 7.9542
_cell_angle_alpha 90.00
_cell_angle_beta 107.18
_cell_angle_gamma 90.00
loop_
_atom_site_label
_atom_site_fract_x
_atom_site_fract_y
_atom_site_fract_z
_atom_site_occupancy
Pr1 0.2008 0.0000 0.1862 1
Pr2 0.2571 0.5000 0.8085 1
Pr3 0.7429 0.5000 0.1915 1
Pr4 0.7992 0.0000 0.8138 1
Ni1 0.5000 0.0000 0.0000 1
Br1 0.0000 0.0000 0.5000 1
Br2 0.5000 0.5000 0.5000 1
N1 0.0000 0.5000 0.0000 1
# **Magnetic moment**: 0.00 μB/atom
# **Raw total energy**: -44.806 eV per formula unit
# **Formation energy without anion corrections**: -1.03 eV/atom
# **Theoretical density**: 6.50 g/cm3